Record 1
This record from the Alexandria database describes a relaxed Y2ZnCr crystal. The functional is GGA-PBE.

Calculated values
**VASP energy**: -5.939 eV per atom
**Total magnetization**: 3.6 μB per formula unit
**Theoretical density**: 5.33 g/cm³
**Offset from the most stable computed form**: 3 meV/atom
**N(E_F)**: 3.45 states/eV/cell

```
data_Y2ZnCr
_chemical_formula_sum 'Y2 Zn1 Cr1'
_cell_length_a 3.565
_cell_length_b 3.610
_cell_length_c 7.146
_cell_angle_alpha 90.00
_cell_angle_beta 90.00
_cell_angle_gamma 90.00
_space_group_name_H-M_alt 'P m m m'
_space_group_IT_number 47
_space_group_name_Hall '-P 2 2'
loop_
_atom_site_label
_atom_site_type_symbol
_atom_site_fract_x
_atom_site_fract_y
_atom_site_fract_z
_atom_site_occupancy
Y1 Y 0.000 0.000 0.249 1
Zn1 Zn 0.500 0.500 0.500 1
Cr1 Cr 0.500 0.500 0.000 1
```

=====

Record 2
This record from the Alexandria database describes a relaxed TlSb12Ru4 crystal. The functional is GGA-PBE.

Calculated values
**VASP energy**: -5.388 eV per atom
**Total magnetization**: 0.0 μB per formula unit
**Theoretical density**: 8.22 g/cm³
**N(E_F)**: 34.99 states/eV/cell
**Energy relative to the elements, uncorrected**: -0.16 eV/atom

```
data_TlSb12Ru4
_chemical_formula_sum 'Tl2 Sb24 Ru8'
_cell_length_a 9.421
_cell_length_b 9.421
_cell_length_c 9.421
_cell_angle_alpha 90.00
_cell_angle_beta 90.00
_cell_angle_gamma 90.00
_space_group_name_H-M_alt 'I m -3'
_space_group_IT_number 204
_space_group_name_Hall '-I 2 2 3'
loop_
_atom_site_label
_atom_site_type_symbol
_atom_site_fract_x
_atom_site_fract_y
_atom_site_fract_z
_atom_site_occupancy
Tl1 Tl 0.000 0.000 0.000 1
Sb1 Sb 0.000 0.158 0.341 1
Ru1 Ru 0.250 0.250 0.250 1
```

=====

Record 3
This record from the Alexandria database describes a relaxed Ca2SmCuS4 crystal. The functional is GGA-PBE.

Calculated values
**VASP energy**: -5.284 eV per atom
**Total magnetization**: 0.0 μB per formula unit
**Theoretical density**: 3.99 g/cm³
**N(E_F)**: 0.59 states/eV/cell
**Energy relative to the elements, uncorrected**: -1.62 eV/atom

```
data_Ca2SmCuS4
_chemical_formula_sum 'Ca2 Sm1 Cu1 S4'
_cell_length_a 6.802
_cell_length_b 3.983
_cell_length_c 6.934
_cell_angle_alpha 90.00
_cell_angle_beta 110.61
_cell_angle_gamma 90.00
_space_group_name_H-M_alt 'P 1 2/m 1'
_space_group_IT_number 10
_space_group_name_Hall '-P 2y'
loop_
_atom_site_label
_atom_site_type_symbol
_atom_site_fract_x
_atom_site_fract_y
_atom_site_fract_z
_atom_site_occupancy
Ca1 Ca 0.000 0.000 0.000 1
Ca2 Ca 0.500 0.500 0.000 1
Sm1 Sm 0.000 0.500 0.500 1
Cu1 Cu 0.500 0.000 0.500 1
S1 S 0.246 0.000 0.751 1
S2 S 0.266 0.500 0.269 1
```

=====

Record 4
This record from the Alexandria database describes a relaxed CrNiAs3 crystal. The functional is GGA-PBE.

Calculated values
**VASP energy**: -5.219 eV per atom
**Total magnetization**: 0.0 μB per formula unit
**Theoretical density**: 5.79 g/cm³
**Offset from the most stable computed form**: 0 meV/atom
**N(E_F)**: 3.65 states/eV/cell

```
data_CrNiAs3
_chemical_formula_sum 'Cr1 Ni1 As3'
_cell_length_a 4.583
_cell_length_b 4.583
_cell_length_c 4.583
_cell_angle_alpha 90.00
_cell_angle_beta 90.00
_cell_angle_gamma 90.00
_space_group_name_H-M_alt 'P m -3 m'
_space_group_IT_number 221
_space_group_name_Hall '-P 4 2 3'
loop_
_atom_site_label
_atom_site_type_symbol
_atom_site_fract_x
_atom_site_fract_y
_atom_site_fract_z
_atom_site_occupancy
Cr1 Cr 0.000 0.000 0.000 1
Ni1 Ni 0.500 0.500 0.500 1
As1 As 0.000 0.000 0.500 1
```

=====

Record 5
This record from the Alexandria database describes a relaxed Y2MgSbC crystal. The functional is GGA-PBE.

Calculated values
**VASP energy**: -6.144 eV per atom
**Total magnetization**: 0.0 μB per formula unit
**Theoretical density**: 5.19 g/cm³
**N(E_F)**: 1.65 states/eV/cell
**Energy relative to the elements, uncorrected**: -0.57 eV/atom

```
data_Y2MgSbC
_chemical_formula_sum 'Y2 Mg1 Sb1 C1'
_cell_length_a 4.964
_cell_length_b 4.964
_cell_length_c 4.364
_cell_angle_alpha 90.00
_cell_angle_beta 90.00
_cell_angle_gamma 90.00
_space_group_name_H-M_alt 'P 4/m m m'
_space_group_IT_number 123
_space_group_name_Hall '-P 4 2'
loop_
_atom_site_label
_atom_site_type_symbol
_atom_site_fract_x
_atom_site_fract_y
_atom_site_fract_z
_atom_site_occupancy
Y1 Y 0.000 0.500 0.000 1
Mg1 Mg 0.000 0.000 0.500 1
Sb1 Sb 0.500 0.500 0.500 1
C1 C 0.000 0.000 0.000 1
```

=====

Record 6
This record from the Alexandria database describes a relaxed Tm2TlCr crystal. The functional is GGA-PBE.

Calculated values
**VASP energy**: -5.236 eV per atom
**Total magnetization**: 3.1 μB per formula unit
**Theoretical density**: 10.25 g/cm³
**N(E_F)**: 3.25 states/eV/cell

```
data_Tm2TlCr
_chemical_formula_sum 'Tm2 Tl1 Cr1'
_cell_length_a 3.600
_cell_length_b 3.600
_cell_length_c 7.428
_cell_angle_alpha 90.00
_cell_angle_beta 90.00
_cell_angle_gamma 90.00
_space_group_name_H-M_alt 'P 4/m m m'
_space_group_IT_number 123
_space_group_name_Hall '-P 4 2'
loop_
_atom_site_label
_atom_site_type_symbol
_atom_site_fract_x
_atom_site_fract_y
_atom_site_fract_z
_atom_site_occupancy
Tm1 Tm 0.000 0.000 0.227 1
Tl1 Tl 0.500 0.500 0.500 1
Cr1 Cr 0.500 0.500 0.000 1
```

=====

Record 7
This record from the Alexandria database describes a relaxed BeCdP2 crystal. The functional is GGA-PBE.

Calculated values
**VASP energy**: -3.699 eV per atom
**Total magnetization**: 0.0 μB per formula unit
**Theoretical density**: 4.41 g/cm³
**Offset from the most stable computed form**: 99 meV/atom
**N(E_F)**: 0.89 states/eV/cell

```
data_BeCdP2
_chemical_formula_sum 'Be1 Cd1 P2'
_cell_length_a 3.925
_cell_length_b 3.470
_cell_length_c 5.270
_cell_angle_alpha 90.00
_cell_angle_beta 105.77
_cell_angle_gamma 90.00
_space_group_name_H-M_alt 'P 1 2/m 1'
_space_group_IT_number 10
_space_group_name_Hall '-P 2y'
loop_
_atom_site_label
_atom_site_type_symbol
_atom_site_fract_x
_atom_site_fract_y
_atom_site_fract_z
_atom_site_occupancy
Be1 Be 0.000 0.000 0.000 1
Cd1 Cd 0.500 0.000 0.500 1
P1 P 0.244 0.500 0.851 1
```

=====

Record 8
This record from the Alexandria database describes a relaxed TaHgRu2 crystal. The functional is GGA-PBE.

Calculated values
**VASP energy**: -7.547 eV per atom
**Total magnetization**: 0.1 μB per formula unit
**Theoretical density**: 13.87 g/cm³
**N(E_F)**: 13.22 states/eV/cell

```
data_TaHgRu2
_chemical_formula_sum 'Ta3 Hg3 Ru6'
_cell_length_a 3.0608
_cell_length_b 3.0608
_cell_length_c 25.8298
_cell_angle_alpha 90.00
_cell_angle_beta 90.00
_cell_angle_gamma 120.00
_space_group_name_H-M_alt 'R -3 m'
_space_group_IT_number 166
_space_group_name_Hall '-R 3 2"'
loop_
_atom_site_label
_atom_site_type_symbol
_atom_site_fract_x
_atom_site_fract_y
_atom_site_fract_z
_atom_site_occupancy
Ta1 Ta 0.0000 0.0000 0.0000 1
Hg1 Hg 0.0000 0.0000 0.5000 1
Ru1 Ru 0.0000 0.0000 0.2592 1
```

=====

Record 9
This record from the Alexandria database describes a relaxed GaHgGe crystal. The functional is GGA-PBE.

Calculated values
**VASP energy**: -2.454 eV per atom
**Total magnetization**: 0.0 μB per formula unit
**Theoretical density**: 8.03 g/cm³
**Offset from the most stable computed form**: 97 meV/atom
**N(E_F)**: 7.78 states/eV/cell

```
data_GaHgGe
_chemical_formula_sum 'Ga4 Hg4 Ge4'
_cell_length_a 6.572
_cell_length_b 6.572
_cell_length_c 6.572
_cell_angle_alpha 90.00
_cell_angle_beta 90.00
_cell_angle_gamma 90.00
_space_group_name_H-M_alt 'F -4 3 m'
_space_group_IT_number 216
_space_group_name_Hall 'F -4 2 3'
loop_
_atom_site_label
_atom_site_type_symbol
_atom_site_fract_x
_atom_site_fract_y
_atom_site_fract_z
_atom_site_occupancy
Ga1 Ga 0.000 0.000 0.000 1
Hg1 Hg 0.000 0.000 0.500 1
Ge1 Ge 0.250 0.250 0.250 1
```

=====

Record 10
This record from the Alexandria database describes a relaxed LaMnCo2 crystal. The functional is GGA-PBE.

Calculated values
**VASP energy**: -6.858 eV per atom
**Total magnetization**: 3.4 μB per formula unit
**Theoretical density**: 8.33 g/cm³
**N(E_F)**: 4.41 states/eV/cell

```
data_LaMnCo2
_chemical_formula_sum 'La1 Mn1 Co2'
_cell_length_a 3.005
_cell_length_b 3.005
_cell_length_c 6.884
_cell_angle_alpha 90.00
_cell_angle_beta 90.00
_cell_angle_gamma 90.00
_space_group_name_H-M_alt 'P 4/m m m'
_space_group_IT_number 123
_space_group_name_Hall '-P 4 2'
loop_
_atom_site_label
_atom_site_type_symbol
_atom_site_fract_x
_atom_site_fract_y
_atom_site_fract_z
_atom_site_occupancy
La1 La 0.000 0.000 0.000 1
Mn1 Mn 0.000 0.000 0.500 1
Co1 Co 0.500 0.500 0.320 1
```

=====

Record 11
This record from the Alexandria database describes a relaxed Tl4AsBr crystal. The functional is GGA-PBE.

Calculated values
**VASP energy**: -2.506 eV per atom
**Total magnetization**: 0.3 μB per formula unit
**Theoretical density**: 8.57 g/cm³
**N(E_F)**: 13.64 states/eV/cell
**Energy relative to the elements, uncorrected**: 0.13 eV/atom

```
data_Tl4AsBr
_chemical_formula_sum 'Tl16 As4 Br4'
_cell_length_a 9.101
_cell_length_b 9.101
_cell_length_c 9.101
_cell_angle_alpha 90.00
_cell_angle_beta 90.00
_cell_angle_gamma 90.00
_space_group_name_H-M_alt 'F -4 3 m'
_space_group_IT_number 216
_space_group_name_Hall 'F -4 2 3'
loop_
_atom_site_label
_atom_site_type_symbol
_atom_site_fract_x
_atom_site_fract_y
_atom_site_fract_z
_atom_site_occupancy
Tl1 Tl 0.125 0.125 0.125 1
As1 As 0.250 0.250 0.750 1
Br1 Br 0.000 0.000 0.500 1
```

=====

Record 12
This record from the Alexandria database describes a relaxed NiGeBr crystal. The functional is GGA-PBE.

Calculated values
**VASP energy**: -4.177 eV per atom
**Total magnetization**: 0.0 μB per formula unit
**Theoretical density**: 5.60 g/cm³
**Offset from the most stable computed form**: 137 meV/atom
**N(E_F)**: 2.11 states/eV/cell
**Energy relative to the elements, uncorrected**: -0.15 eV/atom

```
data_NiGeBr
_chemical_formula_sum 'Ni2 Ge2 Br2'
_cell_length_a 3.515
_cell_length_b 3.749
_cell_length_c 10.733
_cell_angle_alpha 90.74
_cell_angle_beta 90.62
_cell_angle_gamma 117.70
_space_group_name_H-M_alt 'P 1'
_space_group_IT_number 1
_space_group_name_Hall 'P 1'
loop_
_atom_site_label
_atom_site_type_symbol
_atom_site_fract_x
_atom_site_fract_y
_atom_site_fract_z
_atom_site_occupancy
Ni1 Ni 0.000 0.000 0.000 1
Ni2 Ni 0.370 0.738 0.211 1
Ge1 Ge 0.296 0.608 0.877 1
Ge2 Ge 0.684 0.367 0.103 1
Br1 Br 0.064 0.120 0.344 1
Br2 Br 0.721 0.477 0.692 1
```

=====

Repeat the second record exactly.
This record from the Alexandria database describes a relaxed TlSb12Ru4 crystal. The functional is GGA-PBE.

Calculated values
**VASP energy**: -5.388 eV per atom
**Total magnetization**: 0.0 μB per formula unit
**Theoretical density**: 8.22 g/cm³
**N(E_F)**: 34.99 states/eV/cell
**Energy relative to the elements, uncorrected**: -0.16 eV/atom

```
data_TlSb12Ru4
_chemical_formula_sum 'Tl2 Sb24 Ru8'
_cell_length_a 9.421
_cell_length_b 9.421
_cell_length_c 9.421
_cell_angle_alpha 90.00
_cell_angle_beta 90.00
_cell_angle_gamma 90.00
_space_group_name_H-M_alt 'I m -3'
_space_group_IT_number 204
_space_group_name_Hall '-I 2 2 3'
loop_
_atom_site_label
_atom_site_type_symbol
_atom_site_fract_x
_atom_site_fract_y
_atom_site_fract_z
_atom_site_occupancy
Tl1 Tl 0.000 0.000 0.000 1
Sb1 Sb 0.000 0.158 0.341 1
Ru1 Ru 0.250 0.250 0.250 1
```